(1)
Crystalline La8Co3RuBr4 at its relaxed geometry, computed with PBE-GGA.

The structure in POSCAR format:
```
La8Co3RuBr4
1.0
7.066 -4.079 0.000
7.066 4.079 0.000
-4.709 0.000 7.951
La Co Ru Br
8 3 1 4
direct
0.229 0.733 0.694
0.230 0.230 0.688
0.267 0.771 0.306
0.268 0.268 0.306
0.732 0.732 0.694
0.733 0.229 0.694
0.770 0.770 0.312
0.771 0.267 0.306
0.000 0.000 0.500
0.000 0.500 0.500
0.500 0.000 0.500
0.500 0.500 0.500
0.000 0.000 0.000
0.000 0.500 0.000
0.500 0.000 0.000
0.500 0.500 0.000
```

Results
For the density, the calculation gives 6.19 g/cm³. The final energy comes out at -5.657 eV per atom. The space group is C2/m (12). Its formation energy without anion corrections is -863 meV/atom. For the size of the total moment, the calculation gives 0.00 μB per atom.

(2)
Crystalline La6Co2RuBr3 at its relaxed geometry, computed with PBE-GGA.

The structure in POSCAR format:
```
La6Co2RuBr3
1.0
9.880 -2.046 0.000
9.880 2.046 0.000
-3.565 0.000 8.527
La Co Ru Br
6 2 1 3
direct
0.013 0.013 0.223
0.319 0.319 0.449
0.345 0.345 0.884
0.655 0.655 0.116
0.681 0.681 0.551
0.987 0.987 0.777
0.170 0.170 0.337
0.830 0.830 0.663
0.500 0.500 0.000
0.166 0.166 0.833
0.500 0.500 0.500
0.834 0.834 0.167
```

Results
For the density, the calculation gives 6.22 g/cm³. The final energy comes out at -5.705 eV per atom. The space group is C2/m (12). Its formation energy without anion corrections is -865 meV/atom. For the size of the total moment, the calculation gives 0.00 μB per atom.

(3)
Crystalline La4CoS2Br at its relaxed geometry, computed with PBE-GGA.

The structure in POSCAR format:
```
La4CoS2Br
1.0
7.353 0.000 0.000
0.000 4.064 0.000
-2.460 0.000 7.071
La Co S Br
4 1 2 1
direct
0.228 0.000 0.233
0.267 0.500 0.780
0.733 0.500 0.220
0.772 0.000 0.767
0.500 0.000 0.000
0.000 0.000 0.500
0.000 0.500 0.000
0.500 0.500 0.500
```

Results
For the density, the calculation gives 5.96 g/cm³. The final energy comes out at -5.980 eV per atom. The space group is P2/m (10). Its formation energy without anion corrections is -1387 meV/atom. For the size of the total moment, the calculation gives 0.00 μB per atom.

(4)
Crystalline La6CoS2Br3 at its relaxed geometry, computed with PBE-GGA.

The structure in POSCAR format:
```
La6CoS2Br3
1.0
3.656 -6.258 0.000
3.656 6.258 0.000
-2.535 0.000 7.306
La Co S Br
6 1 2 3
direct
0.071 0.387 0.206
0.260 0.260 0.781
0.387 0.071 0.206
0.613 0.929 0.794
0.740 0.740 0.219
0.929 0.613 0.794
0.000 0.000 0.000
0.333 0.667 0.000
0.667 0.333 0.000
0.175 0.825 0.500
0.500 0.500 0.500
0.825 0.175 0.500
```

Results
For the density, the calculation gives 5.94 g/cm³. The final energy comes out at -5.587 eV per atom. The space group is C2/m (12). Its formation energy without anion corrections is -1425 meV/atom. For the size of the total moment, the calculation gives 0.00 μB per atom.

(5)
Crystalline La8Co3SBr3 at its relaxed geometry, computed with PBE-GGA.

The structure in POSCAR format:
```
La8Co3SBr3
1.0
7.389 -4.076 0.000
7.389 4.076 0.000
-4.665 0.000 7.450
La Co S Br
8 3 1 3
direct
0.217 0.755 0.707
0.241 0.241 0.697
0.245 0.783 0.293
0.258 0.258 0.302
0.742 0.742 0.698
0.755 0.217 0.707
0.759 0.759 0.303
0.783 0.245 0.293
0.000 0.000 0.500
0.000 0.500 0.500
0.500 0.000 0.500
0.500 0.500 0.500
0.000 0.500 0.000
0.500 0.000 0.000
0.500 0.500 0.000
```

Results
For the density, the calculation gives 5.77 g/cm³. The final energy comes out at -5.525 eV per atom. The space group is C2/m (12). Its formation energy without anion corrections is -866 meV/atom. For the size of the total moment, the calculation gives 0.00 μB per atom.

(6)
Crystalline La4CoSBr2 at its relaxed geometry, computed with PBE-GGA.

The structure in POSCAR format:
```
La4CoSBr2
1.0
7.481 0.000 0.000
0.000 4.000 0.000
-2.428 0.000 7.572
La Co S Br
4 1 1 2
direct
0.210 0.000 0.195
0.265 0.500 0.788
0.735 0.500 0.212
0.790 0.000 0.805
0.000 0.500 0.000
0.500 0.000 0.000
0.000 0.000 0.500
0.500 0.500 0.500
```

Results
For the density, the calculation gives 5.91 g/cm³. The final energy comes out at -5.561 eV per atom. The space group is P2/m (10). Its formation energy without anion corrections is -1274 meV/atom. For the size of the total moment, the calculation gives 0.00 μB per atom.

(7)
Crystalline La8Co3SBr4 at its relaxed geometry, computed with PBE-GGA.

The structure in POSCAR format:
```
La8Co3SBr4
1.0
7.252 -4.085 0.000
7.252 4.085 0.000
-4.737 0.000 7.775
La Co S Br
8 3 1 4
direct
0.220 0.745 0.699
0.235 0.235 0.691
0.255 0.780 0.301
0.261 0.261 0.307
0.739 0.739 0.693
0.745 0.220 0.699
0.765 0.765 0.309
0.780 0.255 0.301
0.000 0.000 0.500
0.000 0.500 0.500
0.500 0.000 0.500
0.500 0.500 0.500
0.000 0.000 0.000
0.000 0.500 0.000
0.500 0.000 0.000
0.500 0.500 0.000
```

Results
For the density, the calculation gives 5.91 g/cm³. The final energy comes out at -5.504 eV per atom. The space group is C2/m (12). Its formation energy without anion corrections is -1032 meV/atom. For the size of the total moment, the calculation gives 0.00 μB per atom.

(8)
Crystalline La6Co2SeBr3 at its relaxed geometry, computed with PBE-GGA.

The structure in POSCAR format:
```
La6Co2SeBr3
1.0
9.495 -2.126 0.000
9.495 2.126 0.000
-2.993 0.000 8.728
La Co Se Br
6 2 1 3
direct
0.027 0.027 0.250
0.315 0.315 0.440
0.331 0.331 0.872
0.669 0.669 0.128
0.685 0.685 0.560
0.973 0.973 0.750
0.168 0.168 0.334
0.832 0.832 0.666
0.500 0.500 0.000
0.156 0.156 0.835
0.500 0.500 0.500
0.844 0.844 0.165
```

Results
For the density, the calculation gives 5.98 g/cm³. The final energy comes out at -5.454 eV per atom. The space group is C2/m (12). Its formation energy without anion corrections is -1097 meV/atom. For the size of the total moment, the calculation gives 0.00 μB per atom.